First-principles (PBE with a Hubbard U) data for a geometry-optimized CePaV2O8 structure, as listed in the Alexandria database.

uncorrected energy	-8.6149	eV/atom
space group	I-4
total moment	3.0	μB per cell

Cell lengths 6.648, 6.648, 6.648 Å; angles 133.96, 133.96, 67.15 degrees
Sites, in units of the cell vectors:
Ce 0.000 0.000 0.000
Pa 0.250 0.750 0.500
V 0.500 0.500 0.000
V 0.750 0.250 0.500
O 0.021 0.060 0.413
O 0.237 0.661 0.070
O 0.339 0.409 0.576
O 0.392 0.979 0.039
O 0.591 0.167 0.930
O 0.647 0.608 0.587
O 0.833 0.763 0.424
O 0.940 0.353 0.961